[1]
First-principles (PBE) data for a geometry-optimized Ce3Nd4Ir2 structure, as listed in Alexandria via LeMat-Bulk.

Computed properties:
Its space group is C2/m (12). The value obtained for the theoretical density is 8.721 g/cm3. As for the electronic total energy: -6.41 eV per atom.

a b c (Å): 3.8108 9.0113 8.8607
angles (deg): 117.00 102.42 90.00
Closest atoms and distances in Å follow each position.
Positions (direct):
Ce: 0.0704 0.1718 0.1408  2 Ir 2.77, 1 Ce 2.92
Ce: 0.9296 0.8282 0.8592  2 Ir 2.77, 1 Ce 2.92
Ce: 0.0000 0.5000 0.0000  4 Ir 2.80
Nd: 0.2313 0.6490 0.4625  3 Ir 3.06-3.38
Nd: 0.7687 0.3510 0.5375  3 Ir 3.06-3.38
Nd: 0.6256 0.8756 0.2511  1 Ir 3.40, 6 Ce 3.60-3.75
Nd: 0.3744 0.1244 0.7489  1 Ir 3.40, 6 Ce 3.60-3.75
Ir: 0.4106 0.5906 0.8212  4 Ce 2.77-2.80, 2 Nd 3.06
Ir: 0.5894 0.4094 0.1788  4 Ce 2.77-2.80, 2 Nd 3.06

=====

[2]
First-principles (PBE) data for a geometry-optimized Ce2Nd2Ir3 structure, as listed in Alexandria via LeMat-Bulk.

Computed properties:
Its space group is C2/m (12). The value obtained for the theoretical density is 10.314 g/cm3. As for the electronic total energy: -7.47 eV per atom.

a b c (Å): 4.3672 5.8403 7.6967
angles (deg): 101.11 106.48 90.00
Closest atoms and distances in Å follow each position.
Positions (direct):
Ce: 0.8333 0.6823 0.6666  4 Ir 2.77-2.85
Ce: 0.1667 0.3177 0.3334  4 Ir 2.77-2.85
Nd: 0.5907 0.8049 0.1815  5 Ir 2.91-3.08
Nd: 0.4093 0.1951 0.8185  5 Ir 2.91-3.08
Ir: 0.0000 0.0000 0.0000  2 Ce 2.77, 4 Nd 2.91
Ir: 0.7681 0.1880 0.5362  3 Ce 2.83-2.85, 3 Nd 3.01-3.08, 2 Ir 3.07
Ir: 0.2319 0.8120 0.4638  3 Ce 2.83-2.85, 3 Nd 3.01-3.08, 2 Ir 3.07

=====

[3]
First-principles (PBE) data for a geometry-optimized CeNdIr2 structure, as listed in Alexandria via LeMat-Bulk.

Computed properties:
Its space group is P4/mmm (123). The value obtained for the theoretical density is 12.688 g/cm3. As for the electronic total energy: -7.74 eV per atom.

a b c (Å): 3.5096 3.5096 7.1064
angles (deg): 90.00 90.00 90.00
Closest atoms and distances in Å follow each position.
Positions (direct):
Ir: 0.0000 0.0000 0.7741  4 Ce 2.96, 4 Nd 3.16, 1 Ir 3.21
Ir: 0.0000 0.0000 0.2259  4 Ce 2.96, 4 Nd 3.16, 1 Ir 3.21
Nd: 0.5000 0.5000 0.5000  8 Ir 3.16, 4 Nd 3.51
Ce: 0.5000 0.5000 0.0000  8 Ir 2.96

=====

[4]
First-principles (PBE) data for a geometry-optimized Ce2NdIr structure, as listed in Alexandria via LeMat-Bulk.

Computed properties:
Its space group is R3m (160). The value obtained for the theoretical density is 8.446 g/cm3. As for the electronic total energy: -6.67 eV per atom.

a b c (Å): 3.9443 3.9443 9.2826
angles (deg): 77.73 77.73 60.00
Closest atoms and distances in Å follow each position.
Positions (direct):
Ce: 0.0601 0.0601 0.8196  3 Ir 2.80
Ce: 0.2731 0.2731 0.1807  3 Ir 2.79
Nd: 0.5004 0.5004 0.4988  6 Ce 3.66-3.68, 6 Nd 3.94
Ir: 0.6664 0.6664 0.0009  6 Ce 2.79-2.80

=====

[5]
First-principles (PBE) data for a geometry-optimized Ce2Nd2Ir3 structure, as listed in Alexandria via LeMat-Bulk.

Computed properties:
Its space group is I2_13 (199). The value obtained for the theoretical density is 11.156 g/cm3. As for the electronic total energy: -7.50 eV per atom.

a b c (Å): 7.6228 7.6228 7.6228
angles (deg): 109.47 109.47 109.47
Closest atoms and distances in Å follow each position.
Positions (direct):
Ce: 0.0000 0.0000 0.8854  3 Ir 2.83
Ce: 0.5000 0.8854 0.5000  3 Ir 2.83
Ce: 0.1146 0.6146 0.6146  3 Ir 2.83
Ce: 0.3854 0.5000 0.0000  3 Ir 2.83
Nd: 0.5000 0.3729 0.5000  3 Ir 2.86
Nd: 0.0000 0.0000 0.3729  3 Ir 2.86
Nd: 0.6271 0.1271 0.1271  3 Ir 2.86
Nd: 0.8729 0.5000 0.0000  3 Ir 2.86
Ir: 0.7500 0.6326 0.3826  2 Ce 2.83, 2 Nd 2.86
Ir: 0.2500 0.8674 0.1174  2 Ce 2.83, 2 Nd 2.86
Ir: 0.6174 0.7500 0.8674  2 Ce 2.83, 2 Nd 2.86
Ir: 0.8826 0.2500 0.6326  2 Ce 2.83, 2 Nd 2.86
Ir: 0.3674 0.1174 0.7500  2 Ce 2.83, 2 Nd 2.86
Ir: 0.1326 0.3826 0.2500  2 Ce 2.83, 2 Nd 2.86

=====

[6]
First-principles (PBE) data for a geometry-optimized CeNdIr2 structure, as listed in Alexandria via LeMat-Bulk.

Computed properties:
Its space group is R-3m (166). The value obtained for the theoretical density is 11.508 g/cm3. As for the electronic total energy: -7.67 eV per atom.

a b c (Å): 4.0683 4.0683 7.1306
angles (deg): 73.42 73.42 60.00
Closest atoms and distances in Å follow each position.
Positions (direct):
Ir: 0.7437 0.7437 0.7688  3 Ce 2.82, 3 Nd 2.97
Ir: 0.2563 0.2563 0.2312  3 Ce 2.82, 3 Nd 2.97
Nd: 0.5000 0.5000 0.5000  6 Ir 2.97
Ce: 0.0000 0.0000 0.0000  6 Ir 2.82

=====

[7]
First-principles (PBE) data for a geometry-optimized CeNdIr2 structure, as listed in Alexandria via LeMat-Bulk.

Computed properties:
Its space group is Fm-3m (225). The value obtained for the theoretical density is 12.686 g/cm3. As for the electronic total energy: -7.70 eV per atom.

a b c (Å): 4.9840 4.9840 4.9840
angles (deg): 60.00 60.00 60.00
Closest atoms and distances in Å follow each position.
Positions (direct):
Ir: 0.2500 0.2500 0.2500  4 Ce 3.05, 4 Nd 3.05
Ir: 0.7500 0.7500 0.7500  4 Nd 3.05, 4 Ce 3.05
Nd: 0.5000 0.5000 0.5000  8 Ir 3.05
Ce: 0.0000 0.0000 0.0000  8 Ir 3.05

=====

[8]
First-principles (PBE) data for a geometry-optimized CeNdNiIr structure, as listed in Alexandria via LeMat-Bulk.

Computed properties:
Its space group is Amm2 (38). The value obtained for the theoretical density is 10.071 g/cm3. As for the electronic total energy: -6.86 eV per atom.

a b c (Å): 3.8391 4.5153 5.4414
angles (deg): 90.00 110.66 90.00
Closest atoms and distances in Å follow each position.
Positions (direct):
Ce: 0.8638 0.5000 0.7276  3 Ir 2.89-2.92, 4 Ni 3.02
Nd: 0.1411 0.0000 0.2823  3 Ni 2.82-2.97, 4 Ir 3.04
Ni: 0.4185 0.0000 0.8370  2 Ir 2.77, 3 Nd 2.82-2.97, 4 Ce 3.02
Ir: 0.5766 0.5000 0.1531  2 Ni 2.77, 3 Ce 2.89-2.92, 4 Nd 3.04

=====

[9]
First-principles (PBE) data for a geometry-optimized CeNdNiIr structure, as listed in Alexandria via LeMat-Bulk.

Computed properties:
Its space group is F-43m (216). The value obtained for the theoretical density is 10.385 g/cm3. As for the electronic total energy: -6.77 eV per atom.

a b c (Å): 4.9467 4.9467 4.9467
angles (deg): 60.00 60.00 60.00
Closest atoms and distances in Å follow each position.
Positions (direct):
Ni: 0.2500 0.2500 0.2500  4 Nd 3.03, 4 Ce 3.03
Ir: 0.7500 0.7500 0.7500  4 Ce 3.03, 4 Nd 3.03
Nd: 0.5000 0.5000 0.5000  4 Ni 3.03, 4 Ir 3.03
Ce: 0.0000 0.0000 0.0000  4 Ni 3.03, 4 Ir 3.03

=====

[10]
First-principles (PBE) data for a geometry-optimized CeNdIrPt structure, as listed in Alexandria via LeMat-Bulk.

Computed properties:
Its space group is F-43m (216). The value obtained for the theoretical density is 12.378 g/cm3. As for the electronic total energy: -7.20 eV per atom.

a b c (Å): 5.0322 5.0322 5.0322
angles (deg): 60.00 60.00 60.00
Closest atoms and distances in Å follow each position.
Positions (direct):
Ir: 0.2500 0.2500 0.2500  4 Nd 3.08, 4 Ce 3.08
Nd: 0.0000 0.0000 0.0000  4 Ir 3.08, 4 Pt 3.08
Ce: 0.5000 0.5000 0.5000  4 Pt 3.08, 4 Ir 3.08
Pt: 0.7500 0.7500 0.7500  4 Ce 3.08, 4 Nd 3.08

=====

[11]
First-principles (PBE) data for a geometry-optimized CeNdIrPt structure, as listed in Alexandria via LeMat-Bulk.

Computed properties:
Its space group is Amm2 (38). The value obtained for the theoretical density is 11.921 g/cm3. As for the electronic total energy: -7.34 eV per atom.

a b c (Å): 3.8905 4.2028 6.0437
angles (deg): 90.00 108.78 90.00
Closest atoms and distances in Å follow each position.
Positions (direct):
Ce: 0.8681 0.5000 0.7362  4 Ir 2.89, 2 Pt 3.15
Nd: 0.1440 0.0000 0.2881  4 Pt 2.94, 1 Ir 2.96
Ir: 0.4028 0.0000 0.8056  4 Ce 2.89, 2 Pt 2.96, 1 Nd 2.96
Pt: 0.5850 0.5000 0.1700  4 Nd 2.94, 2 Ir 2.96, 3 Ce 3.15-3.24

=====

[12]
First-principles (PBE) data for a geometry-optimized CeNdIrRh structure, as listed in Alexandria via LeMat-Bulk.

Computed properties:
Its space group is F-43m (216). The value obtained for the theoretical density is 11.042 g/cm3. As for the electronic total energy: -7.37 eV per atom.

a b c (Å): 4.9765 4.9765 4.9765
angles (deg): 60.00 60.00 60.00
Closest atoms and distances in Å follow each position.
Positions (direct):
Rh: 0.5000 0.5000 0.5000  4 Nd 3.05, 4 Ce 3.05
Ir: 0.0000 0.0000 0.0000  4 Nd 3.05, 4 Ce 3.05
Nd: 0.2500 0.2500 0.2500  4 Ir 3.05, 4 Rh 3.05
Ce: 0.7500 0.7500 0.7500  4 Rh 3.05, 4 Ir 3.05

=====

Calculated formation energy readings, ordered: -343, -619, -634, -299, -647, -564, -599, -522, -432, -795, -940, -640 meV per atom